Entry from Alexandria via LeMat-Bulk: a crystal of Pb3BrCl relaxed with PBEsol (SCAN).

Results
Density of states at the Fermi level: 6.25 states/eV/f.u.
M_tot: 0.00 μB/atom
E_tot: -253.730 eV for the cell shown

a = 5.5496 Å, b = 5.5496 Å, c = 5.5496 Å
α = 90.00°, β = 90.00°, γ = 90.00°
Positions (direct):
Pb: 0.0000 0.0000 0.5000
Pb: 0.0000 0.5000 0.0000
Pb: 0.5000 0.0000 0.0000
Br: 0.5000 0.5000 0.5000
Cl: 0.0000 0.0000 0.0000